VASP calculation (PBE with a Hubbard U) on a relaxed structure of Mn2ZnCdO4.

Calculated values
* SG: C2/c (15)
* DFT total energy: -95.59 eV per cell

Cell lengths 6.4197, 6.4197, 6.4240 Å; angles 119.97, 119.97, 89.81 degrees
With the nearest neighbours (Å) after each atom.
Atoms (fractional coordinates):
Mn 0.0000 0.0000 0.0000  6 O 2.21-2.22
Mn 0.0000 0.0000 0.5000  6 O 2.21-2.22
Mn 0.0000 0.5000 0.0000  6 O 2.28-2.31
Mn 0.5000 0.0000 0.5000  6 O 2.28-2.31
Zn 0.0000 0.5000 0.5000  6 O 2.22-2.27
Zn 0.5000 0.0000 0.0000  6 O 2.22-2.27
Cd 0.5000 0.5000 0.0000  6 O 2.32-2.34
Cd 0.5000 0.5000 0.5000  6 O 2.32-2.34
O 0.2312 0.2411 0.4862  3 Mn 2.21-2.31, 1 Zn 2.22, 2 Cd 2.34
O 0.2411 0.2312 0.9862  3 Mn 2.21-2.31, 1 Zn 2.22, 2 Cd 2.34
O 0.2427 0.7555 0.5011  3 Mn 2.21-2.29, 2 Zn 2.26-2.27, 1 Cd 2.32
O 0.2445 0.7573 0.9989  3 Mn 2.21-2.29, 2 Zn 2.26-2.27, 1 Cd 2.32
O 0.7555 0.2427 0.0011  3 Mn 2.21-2.29, 2 Zn 2.26-2.27, 1 Cd 2.32
O 0.7573 0.2445 0.4989  3 Mn 2.21-2.29, 2 Zn 2.26-2.27, 1 Cd 2.32
O 0.7589 0.7688 0.0138  3 Mn 2.21-2.31, 1 Zn 2.22, 2 Cd 2.34
O 0.7688 0.7589 0.5138  3 Mn 2.21-2.31, 1 Zn 2.22, 2 Cd 2.34